Co4Ru2F, optimized geometry, DFT PBE+U; calculated volume = 98.1 Å³ per cell; mass density = 7.732 Mg/m³; energy = -5.117 eV/atom
1.0
-1.1962 -1.6863 3.2051
3.5864 -1.0215 0.8011
2.0866 4.4197 5.3736
F Co Ru
1 4 2
Direct
0.0000 0.0000 0.0000
0.5000 0.0000 0.0000
0.0000 0.5000 0.0000
0.1775 0.1775 0.6451
0.8225 0.8225 0.3549
0.6436 0.6436 0.7127
0.3564 0.3564 0.2873